VASP calculation (PBE) on crystalline Li3Ac2NpSe6 at its relaxed geometry.

Cell lengths 7.5954, 7.5954, 6.9455 Å; angles 99.57, 99.57, 120.81 degrees
Sites, in units of the cell vectors:
Li (0.1410, 0.8590, 0.5000)
Li (0.8590, 0.1410, 0.5000)
Li (0.5000, 0.5000, 0.5000)
Ac (0.3311, 0.6689, 0.0000)
Ac (0.6689, 0.3311, 0.0000)
Np (0.0000, 0.0000, 0.0000)
Se (0.9177, 0.6031, 0.7378)
Se (0.7594, 0.7594, 0.2577)
Se (0.0823, 0.3969, 0.2622)
Se (0.6031, 0.9177, 0.7378)
Se (0.2406, 0.2406, 0.7423)
Se (0.3969, 0.0823, 0.2622)

- Raw formation energy: -1.50 eV per atom
- Space-group type: C2/m (12)